Record 1
This record from the Alexandria database describes a relaxed structure of Zr2P3H4NO12. The functional is GGA-PBEsol.

Total moment in μB per cell: 0.0
SG: R3c, No. 161
DOS at the Fermi energy in states/eV/atom: 0.000
V in Å³ per cell: 536.6
Raw total energy in eV per cell: -339.83

a b c (Å): 8.7280 8.7280 9.5677
angles (deg): 62.86 62.86 60.00
Closest atoms and distances in Å follow each position.
Fractional coordinates of all 44 atoms:
1 O 0.0764 0.9270 0.2984  1 P 1.54
2 O 0.4270 0.5764 0.7984  1 P 1.54
3 O 0.1982 0.4270 0.7984  1 P 1.54
4 O 0.7530 0.8584 0.9018  1 P 1.53
5 O 0.9258 0.0704 0.7070  1 P 1.54
6 O 0.3584 0.2530 0.4018  1 P 1.53
7 O 0.5704 0.4258 0.2070  1 P 1.54
8 O 0.9270 0.6982 0.2984  1 P 1.54
9 O 0.9867 0.3584 0.4018  1 P 1.53
10 O 0.8584 0.4867 0.9018  1 P 1.53
11 O 0.4258 0.7968 0.2070  1 P 1.54
12 O 0.6982 0.0764 0.2984  1 P 1.54
13 O 0.5109 0.2505 0.1022  1 P 1.54
14 O 0.2505 0.1364 0.1022  1 P 1.54
15 O 0.0704 0.2968 0.7070  1 P 1.54
16 O 0.6364 0.7505 0.6022  1 P 1.54
17 O 0.2530 0.9867 0.4018  1 P 1.53
18 O 0.5764 0.1982 0.7984  1 P 1.54
19 O 0.7505 0.0109 0.6022  1 P 1.54
20 O 0.0109 0.6364 0.6022  1 P 1.54
21 O 0.7968 0.5704 0.2070  1 P 1.54
22 O 0.4867 0.7530 0.9018  1 P 1.53
23 O 0.2968 0.9258 0.7070  1 P 1.54
24 O 0.1364 0.5109 0.1022  1 P 1.54
25 Zr 0.1501 0.1501 0.5498  6 O 2.06-2.07
26 Zr 0.6501 0.6501 0.0498  6 O 2.06-2.07
27 Zr 0.3491 0.3491 0.9528  6 O 2.07-2.08
28 Zr 0.8491 0.8491 0.4528  6 O 2.07-2.08
29 H 0.5245 0.5593 0.5627  1 N 1.03
30 H 0.0371 0.0371 0.8888  1 N 1.03
31 H 0.5593 0.3535 0.5627  1 N 1.03
32 H 0.8535 0.0593 0.0627  1 N 1.03
33 H 0.3535 0.5245 0.5627  1 N 1.03
34 H 0.0593 0.0245 0.0627  1 N 1.03
35 H 0.0245 0.8535 0.0627  1 N 1.03
36 H 0.5371 0.5371 0.3888  1 N 1.03
37 P 0.2522 0.9627 0.2529  4 O 1.53-1.54
38 P 0.0322 0.4627 0.7529  4 O 1.53-1.54
39 P 0.9627 0.5322 0.2529  4 O 1.53-1.54
40 P 0.4627 0.7522 0.7529  4 O 1.53-1.54
41 P 0.5322 0.2522 0.2529  4 O 1.53-1.54
42 P 0.7522 0.0322 0.7529  4 O 1.53-1.54
43 N 0.9948 0.9948 0.0155  4 H 1.03
44 N 0.4948 0.4948 0.5155  4 H 1.03

=====

Record 2
This record from the Alexandria database describes a relaxed structure of SbPb2Cl. The functional is GGA-PBEsol.

Total moment in μB per cell: 0.0
SG: Pm, No. 6
ΔE_f (raw) in eV/atom: -0.310
DOS at the Fermi energy in states/eV/atom: 0.391
V in Å³ per cell: 115.8
Energy above the most stable polymorph in this dataset in meV/atom: 77

a b c (Å): 3.4308 5.8062 5.8111
angles (deg): 90.00 90.00 90.09
Closest atoms and distances in Å follow each position.
Fractional coordinates of all 4 atoms:
1 Pb 0.0941 0.8748 0.0000  2 Cl 2.92, 2 Sb 3.22
2 Pb 0.9018 0.3751 0.5000  2 Cl 2.92-2.93, 2 Sb 3.22
3 Cl 0.0057 0.8750 0.5000  4 Pb 2.92-2.93
4 Sb 0.4984 0.3751 0.0000  8 Pb 3.22-3.55, 2 Sb 3.43